# 1
Here is a relaxed structure of NpSnSeS2 from Alexandria via LeMat-Bulk. Energies are from PBE.

a = 7.3309 Å, b = 4.1310 Å, c = 9.8208 Å
α = 90.00°, β = 105.95°, γ = 90.00°
Atoms (fractional coordinates):
Np 0.2369 0.2500 0.4506
Np 0.7631 0.7500 0.5494
Sn 0.2587 0.7500 0.0591
Sn 0.7413 0.2500 0.9409
Se 0.1684 0.7500 0.6268
Se 0.8316 0.2500 0.3732
S 0.0932 0.2500 0.1450
S 0.4134 0.7500 0.3570
S 0.5866 0.2500 0.6430
S 0.9068 0.7500 0.8550

ΔE_f (raw)	-0.862	eV per atom

***

# 2
Here is a relaxed structure of SrNpSe3S from Alexandria via LeMat-Bulk. Energies are from PBE.

a = 8.4766 Å, b = 4.1296 Å, c = 9.8653 Å
α = 90.00°, β = 110.85°, γ = 90.00°
Atoms (fractional coordinates):
Sr 0.2305 0.2500 0.2041
Sr 0.7695 0.7500 0.7959
Np 0.1916 0.7500 0.6885
Np 0.8084 0.2500 0.3115
Se 0.0690 0.7500 0.3734
Se 0.1628 0.7500 0.9578
Se 0.4486 0.2500 0.6280
Se 0.5514 0.7500 0.3720
Se 0.8372 0.2500 0.0422
Se 0.9310 0.2500 0.6266
S 0.3852 0.2500 0.8332
S 0.6148 0.7500 0.1668

ΔE_f (raw)	-1.198	eV per atom

***

# 3
Here is a relaxed structure of TbNpSeS2 from Alexandria via LeMat-Bulk. Energies are from PBE.

a = 7.3323 Å, b = 7.3323 Å, c = 7.3323 Å
α = 145.66°, β = 145.66°, γ = 49.36°
Atoms (fractional coordinates):
Tb 0.0000 0.0000 0.0000
Np 0.2645 0.2645 0.0000
Se 0.6357 0.6357 0.0000
S 0.3834 0.8834 0.5000
S 0.8834 0.3834 0.5000

ΔE_f (raw)	-1.228	eV per atom

***

# 4
Here is a relaxed structure of Np2TeSe2S2 from Alexandria via LeMat-Bulk. Energies are from PBE.

a = 4.3746 Å, b = 4.3746 Å, c = 12.3061 Å
α = 90.00°, β = 90.00°, γ = 120.00°
Atoms (fractional coordinates):
Np 0.3333 0.6667 0.1517
Np 0.6667 0.3333 0.8483
Te 0.0000 0.0000 0.5000
Se 0.0000 0.0000 0.2757
Se 0.0000 0.0000 0.7243
S 0.3333 0.6667 0.9226
S 0.6667 0.3333 0.0774

ΔE_f (raw)	-0.885	eV per atom

***

# 5
Here is a relaxed structure of NpTlSeS from Alexandria via LeMat-Bulk. Energies are from PBE.

a = 8.0919 Å, b = 8.0919 Å, c = 8.0919 Å
α = 29.60°, β = 29.60°, γ = 29.60°
Atoms (fractional coordinates):
Np 0.0000 0.0000 0.0000
Tl 0.8323 0.8323 0.8323
Se 0.4057 0.4057 0.4057
S 0.6088 0.6088 0.6088

ΔE_f (raw)	-0.949	eV per atom

***

# 6
Here is a relaxed structure of Np2Tl2Se2S from Alexandria via LeMat-Bulk. Energies are from PBE.

a = 9.6242 Å, b = 9.6242 Å, c = 9.6242 Å
α = 148.86°, β = 148.86°, γ = 44.62°
Atoms (fractional coordinates):
Np 0.0000 0.5000 0.5000
Np 0.5000 0.0000 0.5000
Tl 0.2408 0.2408 0.0000
Tl 0.7592 0.7592 0.0000
Se 0.4091 0.4091 0.0000
Se 0.5909 0.5909 0.0000
S 0.0000 0.0000 0.0000

ΔE_f (raw)	-0.622	eV per atom

***

# 7
Here is a relaxed structure of Np2TlSeS4 from Alexandria via LeMat-Bulk. Energies are from PBE.

a = 6.9397 Å, b = 6.9397 Å, c = 13.7937 Å
α = 90.00°, β = 90.00°, γ = 147.08°
Atoms (fractional coordinates):
Np 0.1267 0.8733 0.5894
Np 0.1267 0.8733 0.9106
Np 0.8733 0.1267 0.0894
Np 0.8733 0.1267 0.4106
Tl 0.3397 0.6603 0.7500
Tl 0.6603 0.3397 0.2500
Se 0.3736 0.6264 0.2500
Se 0.6264 0.3736 0.7500
S 0.0147 0.9853 0.2500
S 0.2281 0.7719 0.0840
S 0.2281 0.7719 0.4160
S 0.5000 0.5000 0.0000
S 0.5000 0.5000 0.5000
S 0.7719 0.2281 0.5840
S 0.7719 0.2281 0.9160
S 0.9853 0.0147 0.7500

ΔE_f (raw)	-0.845	eV per atom

***

# 8
Here is a relaxed structure of TmNpSeS2 from Alexandria via LeMat-Bulk. Energies are from PBE.

a = 7.3151 Å, b = 7.3151 Å, c = 7.3151 Å
α = 145.71°, β = 145.71°, γ = 49.28°
Atoms (fractional coordinates):
Tm 0.0000 0.0000 0.0000
Np 0.2666 0.2666 0.0000
Se 0.6437 0.6437 0.0000
S 0.3903 0.8903 0.5000
S 0.8903 0.3903 0.5000

ΔE_f (raw)	-1.202	eV per atom

***

# 9
Here is a relaxed structure of NpUSeS2 from Alexandria via LeMat-Bulk. Energies are from PBE.

a = 8.0812 Å, b = 8.0812 Å, c = 8.0812 Å
α = 142.63°, β = 142.63°, γ = 53.88°
Atoms (fractional coordinates):
Np 0.0000 0.0000 0.0000
U 0.6243 0.6243 0.0000
Se 0.8102 0.8102 0.0000
S 0.0630 0.5630 0.5000
S 0.5630 0.0630 0.5000

ΔE_f (raw)	-0.948	eV per atom

***

# 10
Here is a relaxed structure of NpSiS4 from Alexandria via LeMat-Bulk. Energies are from PBE.

a = 5.5481 Å, b = 5.5481 Å, c = 5.5481 Å
α = 112.93°, β = 112.93°, γ = 102.76°
Atoms (fractional coordinates):
Np 0.0000 0.0000 0.0000
Si 0.2500 0.7500 0.5000
S 0.1648 0.5833 0.0393
S 0.4167 0.4560 0.5814
S 0.5440 0.1255 0.9607
S 0.8745 0.8352 0.4186

ΔE_f (raw)	-0.727	eV per atom

***

# 11
Here is a relaxed structure of Np3SiS6 from Alexandria via LeMat-Bulk. Energies are from PBE.

a = 8.3223 Å, b = 8.3223 Å, c = 6.5480 Å
α = 90.00°, β = 90.00°, γ = 101.48°
Atoms (fractional coordinates):
Np 0.1042 0.8958 0.5000
Np 0.2191 0.4167 0.4001
Np 0.4167 0.2191 0.9001
Np 0.5833 0.7809 0.4001
Np 0.7809 0.5833 0.9001
Np 0.8958 0.1042 0.0000
Si 0.3273 0.6727 0.8851
Si 0.6727 0.3273 0.3851
S 0.0867 0.5978 0.7163
S 0.1304 0.1905 0.6988
S 0.1905 0.1304 0.1988
S 0.2696 0.7304 0.2278
S 0.4022 0.9133 0.7163
S 0.4827 0.5173 0.6578
S 0.5173 0.4827 0.1578
S 0.5978 0.0867 0.2163
S 0.7304 0.2696 0.7278
S 0.8095 0.8696 0.6988
S 0.8696 0.8095 0.1988
S 0.9133 0.4022 0.2163

ΔE_f (raw)	-1.098	eV per atom

***

# 12
Here is a relaxed structure of Np2SiS6 from Alexandria via LeMat-Bulk. Energies are from PBE.

a = 6.7296 Å, b = 6.7296 Å, c = 10.6149 Å
α = 118.58°, β = 118.58°, γ = 32.37°
Atoms (fractional coordinates):
Np 0.1935 0.1935 0.3043
Np 0.8065 0.8065 0.6957
Si 0.5000 0.5000 0.0000
S 0.1525 0.1525 0.5277
S 0.3042 0.3042 0.8889
S 0.4877 0.4877 0.7840
S 0.5123 0.5123 0.2160
S 0.6958 0.6958 0.1111
S 0.8475 0.8475 0.4723

ΔE_f (raw)	-0.858	eV per atom

***

# 13
Here is a relaxed structure of NpSi2S8 from Alexandria via LeMat-Bulk. Energies are from PBE.

a = 7.3364 Å, b = 7.3364 Å, c = 6.0326 Å
α = 94.09°, β = 94.09°, γ = 99.63°
Atoms (fractional coordinates):
Np 0.0000 0.0000 0.0000
Si 0.2199 0.2199 0.4452
Si 0.7801 0.7801 0.5548
S 0.0305 0.7267 0.7207
S 0.2329 0.2329 0.7947
S 0.2733 0.9695 0.2793
S 0.4387 0.4387 0.3488
S 0.5613 0.5613 0.6512
S 0.7267 0.0305 0.7207
S 0.7671 0.7671 0.2053
S 0.9695 0.2733 0.2793

ΔE_f (raw)	-0.565	eV per atom

***

# 14
Here is a relaxed structure of NpSi2S6 from Alexandria via LeMat-Bulk. Energies are from PBE.

a = 8.4248 Å, b = 8.4248 Å, c = 6.2280 Å
α = 96.79°, β = 96.79°, γ = 86.57°
Atoms (fractional coordinates):
Np 0.1192 0.8808 0.7500
Np 0.8808 0.1192 0.2500
Si 0.2272 0.3740 0.6880
Si 0.3740 0.2272 0.1880
Si 0.6260 0.7728 0.8120
Si 0.7728 0.6260 0.3120
S 0.0468 0.1949 0.6463
S 0.1253 0.5871 0.8411
S 0.1949 0.0468 0.1463
S 0.2940 0.4367 0.3866
S 0.4129 0.8747 0.6589
S 0.4367 0.2940 0.8866
S 0.5633 0.7060 0.1134
S 0.5871 0.1253 0.3411
S 0.7060 0.5633 0.6134
S 0.8051 0.9532 0.8537
S 0.8747 0.4129 0.1589
S 0.9532 0.8051 0.3537

ΔE_f (raw)	-0.728	eV per atom

***

# 15
Here is a relaxed structure of Np3Si5S12 from Alexandria via LeMat-Bulk. Energies are from PBE.

a = 12.9492 Å, b = 12.9492 Å, c = 12.9492 Å
α = 109.47°, β = 109.47°, γ = 109.47°
Atoms (fractional coordinates):
Np 0.1250 0.2500 0.3750
Np 0.1250 0.3750 0.7500
Np 0.2500 0.3750 0.1250
Np 0.2500 0.8750 0.6250
Np 0.3750 0.1250 0.2500
Np 0.3750 0.7500 0.1250
Np 0.6250 0.2500 0.8750
Np 0.6250 0.8750 0.7500
Np 0.7500 0.1250 0.3750
Np 0.7500 0.6250 0.8750
Np 0.8750 0.6250 0.2500
Np 0.8750 0.7500 0.6250
Si 0.0000 0.0000 0.0000
Si 0.0000 0.0000 0.5000
Si 0.0000 0.5000 0.0000
Si 0.0000 0.5000 0.5000
Si 0.1250 0.7500 0.8750
Si 0.1250 0.8750 0.2500
Si 0.2500 0.1250 0.8750
Si 0.2500 0.6250 0.3750
Si 0.3750 0.2500 0.6250
Si 0.3750 0.6250 0.7500
Si 0.5000 0.0000 0.0000
Si 0.5000 0.0000 0.5000
Si 0.5000 0.5000 0.0000
Si 0.5000 0.5000 0.5000
Si 0.6250 0.3750 0.2500
Si 0.6250 0.7500 0.3750
Si 0.7500 0.3750 0.6250
Si 0.7500 0.8750 0.1250
Si 0.8750 0.1250 0.7500
Si 0.8750 0.2500 0.1250
S 0.0260 0.2120 0.1228
S 0.0260 0.3139 0.9031
S 0.0892 0.7120 0.6861
S 0.0892 0.8772 0.4031
S 0.0969 0.6228 0.4108
S 0.0969 0.9740 0.6861
S 0.1228 0.0260 0.2120
S 0.1228 0.5969 0.9108
S 0.1861 0.2120 0.5892
S 0.1861 0.4740 0.5969
S 0.2120 0.1228 0.0260
S 0.2120 0.5892 0.1861
S 0.2880 0.3139 0.9108
S 0.2880 0.4740 0.3772
S 0.3139 0.9031 0.0260
S 0.3139 0.9108 0.2880
S 0.3772 0.2880 0.4740
S 0.3772 0.5892 0.9031
S 0.4031 0.0892 0.8772
S 0.4031 0.8139 0.5260
S 0.4108 0.0969 0.6228
S 0.4108 0.8139 0.7880
S 0.4740 0.3772 0.2880
S 0.4740 0.5969 0.1861
S 0.5260 0.4031 0.8139
S 0.5260 0.6228 0.7120
S 0.5892 0.1861 0.2120
S 0.5892 0.9031 0.3772
S 0.5969 0.1861 0.4740
S 0.5969 0.9108 0.1228
S 0.6228 0.4108 0.0969
S 0.6228 0.7120 0.5260
S 0.6861 0.0892 0.7120
S 0.6861 0.0969 0.9740
S 0.7120 0.5260 0.6228
S 0.7120 0.6861 0.0892
S 0.7880 0.4108 0.8139
S 0.7880 0.8772 0.9740
S 0.8139 0.5260 0.4031
S 0.8139 0.7880 0.4108
S 0.8772 0.4031 0.0892
S 0.8772 0.9740 0.7880
S 0.9031 0.0260 0.3139
S 0.9031 0.3772 0.5892
S 0.9108 0.1228 0.5969
S 0.9108 0.2880 0.3139
S 0.9740 0.6861 0.0969
S 0.9740 0.7880 0.8772

ΔE_f (raw)	-0.701	eV per atom

***

# 16
Here is a relaxed structure of Sm3Np4S8 from Alexandria via LeMat-Bulk. Energies are from PBE.

a = 7.9101 Å, b = 7.9101 Å, c = 7.8922 Å
α = 119.90°, β = 119.90°, γ = 90.18°
Atoms (fractional coordinates):
Sm 0.0000 0.0000 0.0000
Sm 0.0000 0.5000 0.5000
Sm 0.5000 0.0000 0.5000
Np 0.0000 0.5000 0.0000
Np 0.5000 0.0000 0.0000
Np 0.5000 0.5000 0.0000
Np 0.5000 0.5000 0.5000
S 0.2496 0.7504 0.5000
S 0.2513 0.7487 0.0000
S 0.2529 0.2529 0.0017
S 0.2552 0.2552 0.5067
S 0.7448 0.7448 0.4933
S 0.7471 0.7471 0.9983
S 0.7487 0.2513 0.0000
S 0.7504 0.2496 0.5000

ΔE_f (raw)	-1.633	eV per atom

***

# 17
Here is a relaxed structure of Sm5NpS6 from Alexandria via LeMat-Bulk. Energies are from PBE.

a = 6.9171 Å, b = 6.9171 Å, c = 6.9267 Å
α = 99.63°, β = 99.63°, γ = 120.04°
Atoms (fractional coordinates):
Sm 0.0000 0.0000 0.0000
Sm 0.1677 0.8323 0.5000
Sm 0.3294 0.6706 0.0000
Sm 0.6706 0.3294 0.0000
Sm 0.8323 0.1677 0.5000
Np 0.5000 0.5000 0.5000
S 0.0892 0.4173 0.2531
S 0.2543 0.2543 0.7493
S 0.4173 0.0892 0.2531
S 0.5827 0.9108 0.7469
S 0.7457 0.7457 0.2507
S 0.9108 0.5827 0.7469

ΔE_f (raw)	-1.913	eV per atom

***

# 18
Here is a relaxed structure of SmNp4S6 from Alexandria via LeMat-Bulk. Energies are from PBE.

a = 6.7168 Å, b = 6.7168 Å, c = 19.8014 Å
α = 90.00°, β = 90.00°, γ = 146.57°
Atoms (fractional coordinates):
Sm 0.1568 0.8432 0.7500
Sm 0.8432 0.1568 0.2500
Np 0.0913 0.9087 0.1268
Np 0.0913 0.9087 0.3732
Np 0.3618 0.6382 0.0388
Np 0.3618 0.6382 0.4612
Np 0.6382 0.3618 0.5388
Np 0.6382 0.3618 0.9612
Np 0.9087 0.0913 0.6268
Np 0.9087 0.0913 0.8732
S 0.0000 0.0000 0.0000
S 0.0000 0.0000 0.5000
S 0.1849 0.8151 0.2500
S 0.2680 0.7320 0.5898
S 0.2680 0.7320 0.9102
S 0.4511 0.5489 0.1672
S 0.4511 0.5489 0.3328
S 0.5489 0.4511 0.6672
S 0.5489 0.4511 0.8328
S 0.7320 0.2680 0.0898
S 0.7320 0.2680 0.4102
S 0.8151 0.1849 0.7500

ΔE_f (raw)	-1.456	eV per atom